Record 1
An optimized crystal structure of CdSn3Au6. Source: the Alexandria database, functional GGA-PBE.

Calculated values
V = 435.8 Å³/cell
ρ = 12.6 g/cm3
Energy of formation = -86 meV per atom

Structure (extended XYZ):
```
20
Lattice="7.660 0.000 0.000 0.000 7.411 -1.426 0.000 1.753 7.340" Properties=species:S:1:pos:R:3 pbc="T T T"
Au 0.787 2.931 0.590
Au 1.826 2.211 3.228
Au 1.880 7.261 -1.194
Au 4.617 1.745 2.428
Au 5.198 3.419 4.758
Au 5.656 6.952 2.686
Au 1.368 5.744 1.155
Au 5.710 1.903 7.108
Au 1.826 5.311 5.228
Au 0.787 7.418 3.486
Au 5.656 3.852 0.685
Au 4.617 6.232 5.324
Sn 3.356 4.611 2.912
Sn 7.186 4.552 3.002
Sn 7.308 6.966 6.103
Sn 3.478 8.431 3.834
Sn 7.308 0.732 2.080
Sn 3.478 2.197 -0.190
Cd 4.081 6.277 0.329
Cd 0.251 2.886 5.585
```

Record 2
An optimized crystal structure of SrTeP. Source: the Alexandria database, functional GGA-PBE.

Calculated values
Energy relative to the elements, uncorrected = -1.58 eV per formula unit
V = 85.5 Å³/cell
ρ = 4.8 g/cm3

Structure (extended XYZ):
```
3
Lattice="2.414 -4.181 0.000 2.414 4.181 0.000 0.000 0.000 4.236" Properties=species:S:1:pos:R:3 pbc="T T T"
Te 2.414 1.394 3.528
Sr 2.414 -1.394 1.411
P 0.000 0.000 3.533
```

Record 3
An optimized crystal structure of Li3Ca2As4Pd. Source: the Alexandria database, functional GGA-PBE.

Calculated values
V = 188.4 Å³/cell
ρ = 4.5 g/cm3
Energy of formation = -739 meV per atom

Structure (extended XYZ):
```
10
Lattice="4.254 0.000 0.000 0.000 4.254 0.000 0.000 0.000 10.412" Properties=species:S:1:pos:R:3 pbc="T T T"
As 2.127 0.000 6.634
As 0.000 0.000 0.000
As 2.127 2.127 0.000
As 0.000 2.127 3.778
Pd 2.127 2.127 5.206
Li 0.000 0.000 5.206
Li 0.000 2.127 1.351
Li 2.127 0.000 9.061
Ca 0.000 2.127 7.822
Ca 2.127 0.000 2.590
```

Record 4
An optimized crystal structure of CoBiI3. Source: the Alexandria database, functional GGA-PBE.

Calculated values
Energy relative to the elements, uncorrected = 1.32 eV per formula unit
V = 144.2 Å³/cell
Energy above the most stable polymorph in this dataset = 0.000 eV per atom
ρ = 7.5 g/cm3

Structure (extended XYZ):
```
5
Lattice="5.244 0.000 0.000 0.000 5.244 0.000 0.000 0.000 5.244" Properties=species:S:1:pos:R:3 pbc="T T T"
I 2.622 0.000 0.000
I 0.000 2.622 0.000
I 0.000 0.000 2.622
Co 0.000 0.000 0.000
Bi 2.622 2.622 2.622
```